BeVCoO: optimized geometry, GGA+U.

## Properties
Its size of the total moment is 1.0 μB/f.u. The total energy is -68.0 eV for the cell shown. Its polymorph energy (0 for the lowest one) is 46.2 kJ/mol of formula units.

Cell: 2.6280 2.6280 19.5135 Å, 90.00 90.00 120.00°
Space group R3m (No. 160, hexagonal axes)
Inequivalent atoms, fractional coordinates:
1 Be 0.0000 0.0000 0.0000 x3
2 V 0.0000 0.0000 0.7917 x3
3 Co 0.0000 0.0000 0.5640 x3
4 O 0.0000 0.0000 0.3760 x3